Computed, not measured: a relaxed structure of MnAg2AsP at the GGA-PBE level of DFT.

Cell lengths 4.7693, 4.7693, 4.5464 Å; angles 90.00, 90.00, 90.00 degrees
Closest atoms and distances in Å follow each position.
Fractional coordinates of all 5 atoms:
Mn 0.0000 0.0000 0.0000  2 P 2.27
Ag 0.0000 0.5000 0.5000  2 P 2.38
Ag 0.5000 0.0000 0.5000  2 P 2.38
As 0.5000 0.5000 0.0000  8 Ag 3.29, 4 Mn 3.37
P 0.0000 0.0000 0.5000  2 Mn 2.27, 4 Ag 2.38

Properties
The calculation puts the energy of formation at 2.19 eV/f.u. The total magnetization is 3.054 μB per formula unit. As for the space-group type: P4/mmm, No. 123.

Computed, not measured: a relaxed structure of MnAg2AsS4 at the GGA-PBE level of DFT.

Cell lengths 6.8452, 6.8452, 6.8452 Å; angles 130.21, 130.21, 73.07 degrees
Closest atoms and distances in Å follow each position.
Fractional coordinates of all 8 atoms:
Mn 0.0000 0.0000 0.0000  4 S 2.33
Ag 0.2500 0.7500 0.5000  4 S 2.57
Ag 0.5000 0.5000 0.0000  4 S 2.56
As 0.7500 0.2500 0.5000  4 S 2.39
S 0.0964 0.1244 0.4655  1 Mn 2.33, 1 As 2.39, 2 Ag 2.56-2.57
S 0.3691 0.9036 0.0280  1 Mn 2.33, 1 As 2.39, 2 Ag 2.56-2.57
S 0.6589 0.6309 0.5345  1 Mn 2.33, 1 As 2.39, 2 Ag 2.56-2.57
S 0.8756 0.3411 0.9720  1 Mn 2.33, 1 As 2.39, 2 Ag 2.56-2.57

Properties
The total magnetization is 3.986 μB per formula unit. As for the space-group type: I-4, No. 82. The value obtained for the uncorrected formation energy is -180 meV/atom.

Computed, not measured: a relaxed structure of MnAg2AsSe4 at the GGA-PBE level of DFT.

Cell lengths 7.1796, 7.1796, 7.1796 Å; angles 130.06, 130.06, 73.31 degrees
Closest atoms and distances in Å follow each position.
Fractional coordinates of all 8 atoms:
Mn 0.0000 0.0000 0.0000  4 Se 2.46
Ag 0.2500 0.7500 0.5000  4 Se 2.67
Ag 0.5000 0.5000 0.0000  4 Se 2.66
As 0.7500 0.2500 0.5000  4 Se 2.54
Se 0.1053 0.6328 0.9812  1 Mn 2.46, 1 As 2.54, 2 Ag 2.66-2.67
Se 0.3672 0.3484 0.4725  1 Mn 2.46, 1 As 2.54, 2 Ag 2.66-2.67
Se 0.6516 0.1241 0.0188  1 Mn 2.46, 1 As 2.54, 2 Ag 2.66-2.67
Se 0.8759 0.8947 0.5275  1 Mn 2.46, 1 As 2.54, 2 Ag 2.66-2.67

Properties
The total magnetization is 3.978 μB per formula unit. As for the space-group type: I-4, No. 82. The value obtained for the uncorrected formation energy is -159 meV/atom.

Computed, not measured: a relaxed structure of Ag2Mo2As at the GGA-PBE level of DFT.

Cell lengths 6.3297, 6.3297, 4.5708 Å; angles 90.00, 90.00, 90.00 degrees
Closest atoms and distances in Å follow each position.
Fractional coordinates of all 10 atoms:
Ag 0.1660 0.3340 0.0000  6 Mo 2.91-2.97, 1 Ag 2.97
Ag 0.3340 0.8340 0.0000  6 Mo 2.91-2.97, 1 Ag 2.97
Ag 0.6660 0.1660 0.0000  6 Mo 2.91-2.97, 1 Ag 2.97
Ag 0.8340 0.6660 0.0000  6 Mo 2.91-2.97, 1 Ag 2.97
Mo 0.1319 0.6319 0.5000  1 Mo 2.36, 2 As 2.48
Mo 0.3681 0.1319 0.5000  1 Mo 2.36, 2 As 2.48
Mo 0.6319 0.8681 0.5000  1 Mo 2.36, 2 As 2.48
Mo 0.8681 0.3681 0.5000  1 Mo 2.36, 2 As 2.48
As 0.0000 0.0000 0.5000  4 Mo 2.48
As 0.5000 0.5000 0.5000  4 Mo 2.48

Properties
The calculation puts the energy of formation at 1.80 eV/f.u. The total magnetization is 0.000 μB per formula unit. The value obtained for the energy above the most stable polymorph in this dataset is 0.000 eV per atom. As for the space-group type: P4/mbm, No. 127.

Computed, not measured: a relaxed structure of Ag2MoAs at the GGA-PBE level of DFT.

Cell lengths 4.7400, 4.7400, 5.5461 Å; angles 98.08, 98.08, 34.53 degrees
Closest atoms and distances in Å follow each position.
Fractional coordinates of all 4 atoms:
Ag 0.0000 0.0000 0.0000  5 Ag 2.72-2.81, 2 As 2.89, 3 Mo 2.94-2.97
Ag 0.2477 0.2477 0.7765  5 Ag 2.72-2.81, 2 As 3.04
Mo 0.7499 0.7499 0.2903  3 As 2.61-2.66, 2 Mo 2.81
As 0.4939 0.4939 0.4544  3 Mo 2.61-2.66, 2 As 2.81, 2 Ag 2.89

Properties
The calculation puts the energy of formation at 1.41 eV/f.u. The total magnetization is 0.000 μB per formula unit. As for the space-group type: Cm, No. 8.

Computed, not measured: a relaxed structure of Ag2MoAs at the GGA-PBE level of DFT.

Cell lengths 2.7720, 4.6327, 5.4050 Å; angles 90.00, 90.00, 90.00 degrees
Closest atoms and distances in Å follow each position.
Fractional coordinates of all 4 atoms:
Ag 0.0000 0.0000 0.2443  4 Ag 2.64-2.77
Ag 0.0000 0.0000 0.7557  4 Ag 2.64-2.77
Mo 0.5000 0.5000 0.0000  2 As 2.70, 2 Mo 2.77, 8 Ag 3.01
As 0.5000 0.5000 0.5000  2 Mo 2.70, 2 As 2.77

Properties
The calculation puts the energy of formation at 1.76 eV/f.u. The total magnetization is 0.000 μB per formula unit. As for the space-group type: Pmmm, No. 47.

Computed, not measured: a relaxed structure of Ag2MoAs at the GGA-PBE level of DFT.

Cell lengths 5.7922, 5.7922, 5.7922 Å; angles 150.25, 134.91, 54.96 degrees
Closest atoms and distances in Å follow each position.
Fractional coordinates of all 4 atoms:
Ag 0.2331 0.2331 0.0000  6 Ag 2.70-2.97, 2 As 2.82
Ag 0.7669 0.7669 0.0000  6 Ag 2.70-2.97, 2 As 2.82
Mo 0.5000 0.0000 0.5000  4 As 2.67, 2 Mo 2.97
As 0.0000 0.5000 0.5000  4 Mo 2.67, 4 Ag 2.82, 2 As 2.97

Properties
The calculation puts the energy of formation at 1.31 eV/f.u. The total magnetization is 0.000 μB per formula unit. As for the space-group type: Immm, No. 71.

Computed, not measured: a relaxed structure of AgMoAs at the GGA-PBE level of DFT.

Cell lengths 3.0353, 3.0353, 6.6740 Å; angles 90.00, 90.00, 120.00 degrees
Closest atoms and distances in Å follow each position.
Fractional coordinates of all 3 atoms:
Ag 0.0000 0.0000 0.0000  3 Mo 2.95, 6 Ag 3.04, 3 As 3.04
Mo 0.6667 0.3333 0.6450  3 As 2.52
As 0.3333 0.6667 0.3731  3 Mo 2.52

Properties
The calculation puts the energy of formation at 0.78 eV/f.u. The total magnetization is 0.000 μB per formula unit. The value obtained for the energy above the most stable polymorph in this dataset is 0.000 eV per atom. As for the space-group type: P3m1, No. 156.

Computed, not measured: a relaxed structure of Ag2MoAs at the GGA-PBE level of DFT.

Cell lengths 2.8121, 4.8503, 5.2177 Å; angles 90.00, 104.09, 90.00 degrees
Closest atoms and distances in Å follow each position.
Fractional coordinates of all 4 atoms:
Ag 0.1425 0.0000 0.2565  5 Ag 2.60-2.84, 2 As 2.81
Ag 0.8575 0.0000 0.7435  5 Ag 2.60-2.84, 2 As 2.81
Mo 0.5000 0.5000 0.0000  2 As 2.61, 2 Mo 2.81
As 0.5000 0.5000 0.5000  2 Mo 2.61, 4 Ag 2.81, 2 As 2.81

Properties
The calculation puts the energy of formation at 1.53 eV/f.u. The total magnetization is 0.000 μB per formula unit. As for the space-group type: P2/m, No. 10.

Computed, not measured: a relaxed structure of AgMoAs at the GGA-PBE level of DFT.

Cell lengths 7.5442, 7.3671, 2.8427 Å; angles 82.54, 75.53, 21.94 degrees
Closest atoms and distances in Å follow each position.
Fractional coordinates of all 3 atoms:
Ag 0.0000 0.0000 0.0000  4 Ag 2.84, 2 Mo 2.89
Mo 0.6653 0.6653 0.3347  2 As 2.55, 4 Mo 2.84
As 0.3004 0.3004 0.6996  2 Mo 2.55, 4 As 2.84

Properties
The calculation puts the energy of formation at 0.98 eV/f.u. The total magnetization is 0.000 μB per formula unit. The value obtained for the energy above the most stable polymorph in this dataset is 0.068 eV per atom. As for the space-group type: Fmm2, No. 42.

Computed, not measured: a relaxed structure of Ag3MoAs at the GGA-PBE level of DFT.

Cell lengths 4.9006, 4.9006, 4.9006 Å; angles 90.00, 90.00, 90.00 degrees
Closest atoms and distances in Å follow each position.
Fractional coordinates of all 5 atoms:
Ag 0.0000 0.0000 0.5000  2 As 2.45
Ag 0.0000 0.5000 0.0000  2 As 2.45
Ag 0.5000 0.0000 0.0000  2 As 2.45
Mo 0.5000 0.5000 0.5000  12 Ag 3.47
As 0.0000 0.0000 0.0000  6 Ag 2.45

Properties
The calculation puts the energy of formation at 5.33 eV/f.u. The total magnetization is 4.767 μB per formula unit. The value obtained for the energy above the most stable polymorph in this dataset is 0.000 eV per atom. As for the space-group type: Pm-3m, No. 221.

Computed, not measured: a relaxed structure of AgMo4As at the GGA-PBE level of DFT.

Cell lengths 5.2734, 5.2734, 5.2734 Å; angles 60.00, 60.00, 60.00 degrees
Closest atoms and distances in Å follow each position.
Fractional coordinates of all 6 atoms:
Ag 0.0000 0.0000 0.0000  12 Mo 3.09, 4 As 3.23
Mo 0.3731 0.3731 0.3731  6 Mo 2.60-2.68
Mo 0.3731 0.3731 0.8806  6 Mo 2.60-2.68
Mo 0.3731 0.8806 0.3731  6 Mo 2.60-2.68
Mo 0.8806 0.3731 0.3731  6 Mo 2.60-2.68
As 0.7500 0.7500 0.7500  12 Mo 3.10, 4 Ag 3.23

Properties
The calculation puts the energy of formation at 4.01 eV/f.u. The total magnetization is 0.000 μB per formula unit. As for the space-group type: F-43m, No. 216.

Computed, not measured: a relaxed structure of Ag2MoAs at the GGA-PBE level of DFT.

Cell lengths 4.5701, 4.5701, 4.5701 Å; angles 120.00, 120.00, 90.00 degrees
Closest atoms and distances in Å follow each position.
Fractional coordinates of all 4 atoms:
Ag 0.0000 0.0000 0.0000  4 Mo 2.80, 4 Ag 2.80
Ag 0.7500 0.2500 0.5000  4 As 2.80, 4 Ag 2.80
Mo 0.2491 0.7491 0.5000  4 As 2.79-2.80, 4 Ag 2.80
As 0.5006 0.5006 0.0000  4 Mo 2.79-2.80, 4 Ag 2.80

Properties
The calculation puts the energy of formation at 1.89 eV/f.u. The total magnetization is 0.399 μB per formula unit. As for the space-group type: Imm2, No. 44.

Computed, not measured: a relaxed structure of Ag2MoAs at the GGA-PBE level of DFT.

Cell lengths 3.0704, 4.3827, 5.0842 Å; angles 90.00, 90.00, 90.00 degrees
Closest atoms and distances in Å follow each position.
Fractional coordinates of all 4 atoms:
Ag 0.0000 0.0000 0.0000  4 Ag 2.68, 4 As 2.97
Ag 0.5000 0.5000 0.0000  4 Ag 2.68, 4 Mo 2.97
Mo 0.0000 0.5000 0.5000  4 As 2.68, 4 Ag 2.97
As 0.5000 0.0000 0.5000  4 Mo 2.68, 4 Ag 2.97

Properties
The calculation puts the energy of formation at 1.44 eV/f.u. The total magnetization is 0.000 μB per formula unit. As for the space-group type: Pmmm, No. 47.